GGA-PBE Ag2AuCl, optimized geometry; total energy = -10.49 eV/cell; symmetry = I-4m2 (119); V = 80.4 Å³ per cell; energy relative to the elements, uncorrected = 0.0851 eV/atom
1.0
-1.9630 1.9630 5.2170
1.9630 -1.9630 5.2170
1.9630 1.9630 -5.2170
Ag Au Cl
2 1 1
Cartesian
0.0000 0.0000 0.0000
0.0000 1.9630 2.6085
1.9630 0.0000 2.6085
0.0000 0.0000 5.2170